(1)
! VSiPCl2 GGA-PBE relaxed; values from VASP
! Distance to the lowest polymorph of the same formula ... 0.0 meV/atom
! Formation energy without anion corrections ... 164 meV per atom
! Volume ... 106 Å³ per cell
&SYSTEM
  ibrav = 0, nat = 5, ntyp = 4
/
ATOMIC_SPECIES
V 50.94 V.upf
Si 28.09 Si.upf
P 30.97 P.upf
Cl 35.45 Cl.upf
ATOMIC_POSITIONS angstrom
V 0.000 0.000 0.000
Si 2.299 2.299 2.500
P 0.000 0.000 2.500
Cl 0.000 2.299 0.000
Cl 2.299 0.000 0.000
CELL_PARAMETERS angstrom
4.599 0.000 0.000
0.000 4.599 0.000
0.000 0.000 5.000

(2)
! LiCaPm2Ag4 GGA-PBE relaxed; values from VASP
! Volume ... 191 Å³ per cell
! VASP energy ... -3.3423 eV per atom
&SYSTEM
  ibrav = 0, nat = 8, ntyp = 4
/
ATOMIC_SPECIES
Li 6.94 Li.upf
Ca 40.08 Ca.upf
Pm 145.00 Pm.upf
Ag 107.87 Ag.upf
ATOMIC_POSITIONS angstrom
Li 0.000 0.000 0.000
Ca 0.000 0.000 12.529
Pm 0.000 0.000 6.342
Pm 0.000 0.000 18.716
Ag 0.000 0.000 3.060
Ag 0.000 0.000 9.392
Ag 0.000 0.000 15.666
Ag 0.000 0.000 21.998
CELL_PARAMETERS angstrom
2.572 1.485 8.352
-2.572 1.485 8.352
0.000 -2.970 8.352

(3)
! LaNi2Ru GGA-PBE relaxed; values from VASP
! Volume ... 130 Å³ per cell
! VASP energy ... -6.3052 eV per atom
&SYSTEM
  ibrav = 0, nat = 8, ntyp = 3
/
ATOMIC_SPECIES
La 138.91 La.upf
Ni 58.69 Ni.upf
Ru 101.07 Ru.upf
ATOMIC_POSITIONS angstrom
La 0.000 0.000 0.000
La 2.060 2.060 3.835
Ni 0.000 2.060 1.918
Ni 0.000 2.060 5.753
Ni 2.060 0.000 1.918
Ni 2.060 0.000 5.753
Ru 0.000 0.000 3.835
Ru 2.060 2.060 0.000
CELL_PARAMETERS angstrom
4.119 0.000 0.000
0.000 4.119 0.000
0.000 0.000 7.671